Material: Hg6I
Method: DFT, PBE-GGA
State: relaxed

Its density of states at the Fermi level is 0.32 states/eV/atom. The energy comes out at -0.037 Ry per atom. For the energy relative to the lowest polymorph listed for this composition, the calculation gives 0 meV/atom. The value obtained for the magnetization is 0.000 μB per atom.

Cell lengths 7.4226, 7.4226, 8.3928 Å; angles 90.00, 90.00, 90.00 degrees
Space group P4/nbm (No. 125, origin choice 2)
Unique sites:
Hg: 0.0868 0.5868 0.1502 [8 per cell]
Hg: 0.2500 0.2500 0.3231 [4 per cell]
I: 0.2500 0.7500 0.5000 [2 per cell]

Material: HgPb2
Method: DFT, PBE-GGA
State: relaxed

Its density of states at the Fermi level is 0.37 states/eV/atom. The energy comes out at -0.188 Ry per atom. For the energy relative to the lowest polymorph listed for this composition, the calculation gives 0 meV/atom. The value obtained for the magnetization is 0.000 μB per atom.

Cell lengths 3.5583, 5.0120, 9.9707 Å; angles 90.00, 90.00, 90.00 degrees
Space group Immm (No. 71)
Unique sites:
Hg: 0.0000 0.0000 0.0000 [2 per cell]
Pb: 0.0000 0.0000 0.3297 [4 per cell]